# Mg5Sc4, optimized geometry, DFT PBE
data_Mg5Sc4
_cell_length_a 7.112
_cell_length_b 7.112
_cell_length_c 7.112
_cell_angle_alpha 96.26
_cell_angle_beta 96.26
_cell_angle_gamma 141.44
_symmetry_space_group_name_H-M 'P 1'
_symmetry_Int_Tables_number 1
_symmetry_space_group_name_Hall 'P 1'
loop_
_atom_site_label
_atom_site_fract_x
_atom_site_fract_y
_atom_site_fract_z
Mg1 0.000 0.000 0.000
Mg2 0.334 0.334 0.668
Mg3 0.334 0.666 0.000
Mg4 0.666 0.334 0.000
Mg5 0.666 0.666 0.332
Sc1 0.000 0.335 0.335
Sc2 0.000 0.665 0.665
Sc3 0.335 0.000 0.335
Sc4 0.665 0.000 0.665
# Theoretical density = 2.4 g cm⁻³
# SG = I4/mmm
# Fermi-level density of states = 10.09 states/eV/cell
# Energy relative to the lowest polymorph listed for this composition = 0 meV/atom
# Formation enthalpy at 0 K = -0.03 eV per atom
# Magnetization = 0.00 μB per cell



# Pr4Se3O, optimized geometry, DFT PBE
data_Pr4Se3O
_cell_length_a 14.215
_cell_length_b 14.215
_cell_length_c 14.215
_cell_angle_alpha 16.26
_cell_angle_beta 16.26
_cell_angle_gamma 16.26
_symmetry_space_group_name_H-M 'P 1'
_symmetry_Int_Tables_number 1
_symmetry_space_group_name_Hall 'P 1'
loop_
_atom_site_label
_atom_site_fract_x
_atom_site_fract_y
_atom_site_fract_z
Pr1 0.123 0.123 0.123
Pr2 0.364 0.364 0.364
Pr3 0.636 0.636 0.636
Pr4 0.877 0.877 0.877
Se1 0.256 0.256 0.256
Se2 0.500 0.500 0.500
Se3 0.744 0.744 0.744
O1 0.000 0.000 0.000
# Theoretical density = 6.9 g cm⁻³
# SG = R-3m
# Fermi-level density of states = 2.79 states/eV/cell
# Magnetization = 0.00 μB per cell
# Formation energy without anion corrections = -1.981 eV per atom



# Ca2HO, optimized geometry, DFT PBE
data_Ca2HO
_cell_length_a 6.199
_cell_length_b 6.199
_cell_length_c 6.199
_cell_angle_alpha 32.32
_cell_angle_beta 32.32
_cell_angle_gamma 32.32
_symmetry_space_group_name_H-M 'P 1'
_symmetry_Int_Tables_number 1
_symmetry_space_group_name_Hall 'P 1'
loop_
_atom_site_label
_atom_site_fract_x
_atom_site_fract_y
_atom_site_fract_z
Ca1 0.000 0.000 0.000
Ca2 0.177 0.177 0.177
H1 0.762 0.762 0.762
O1 0.590 0.590 0.590
# Theoretical density = 2.7 g cm⁻³
# SG = R3m
# Fermi-level density of states = 2.17 states/eV/cell
# Energy relative to the lowest polymorph listed for this composition = 20 meV/atom
# Magnetization = 0.05 μB per cell



# Mo2IrOs, optimized geometry, DFT PBE
data_Mo2IrOs
_cell_length_a 2.762
_cell_length_b 2.762
_cell_length_c 7.970
_cell_angle_alpha 90.00
_cell_angle_beta 90.00
_cell_angle_gamma 90.00
_symmetry_space_group_name_H-M 'P 1'
_symmetry_Int_Tables_number 1
_symmetry_space_group_name_Hall 'P 1'
loop_
_atom_site_label
_atom_site_fract_x
_atom_site_fract_y
_atom_site_fract_z
Mo1 0.000 0.000 0.000
Mo2 0.500 0.500 0.272
Ir1 0.500 0.500 0.757
Os1 0.000 0.000 0.511
# Theoretical density = 15.7 g cm⁻³
# SG = P4mm
# Fermi-level density of states = 3.11 states/eV/cell
# Energy relative to the lowest polymorph listed for this composition = 174 meV/atom
# Formation enthalpy at 0 K = 0.04 eV per atom
# Magnetization = 0.00 μB per cell



# Ta, optimized geometry, DFT PBE
data_Ta
_cell_length_a 5.609
_cell_length_b 5.174
_cell_length_c 2.975
_cell_angle_alpha 82.25
_cell_angle_beta 66.05
_cell_angle_gamma 31.70
_symmetry_space_group_name_H-M 'P 1'
_symmetry_Int_Tables_number 1
_symmetry_space_group_name_Hall 'P 1'
loop_
_atom_site_label
_atom_site_fract_x
_atom_site_fract_y
_atom_site_fract_z
Ta1 0.125 0.125 0.125
Ta2 0.875 0.875 0.875
# Theoretical density = 16.1 g cm⁻³
# SG = Fddd
# Fermi-level density of states = 2.40 states/eV/cell
# Energy relative to the lowest polymorph listed for this composition = 130 meV/atom
# Formation enthalpy at 0 K = 0.13 eV per atom
# Magnetization = 0.00 μB per cell



# ErPuSi2O8, optimized geometry, DFT PBE
data_ErPuSi2O8
_cell_length_a 5.783
_cell_length_b 5.783
_cell_length_c 5.783
_cell_angle_alpha 106.59
_cell_angle_beta 106.59
_cell_angle_gamma 115.41
_symmetry_space_group_name_H-M 'P 1'
_symmetry_Int_Tables_number 1
_symmetry_space_group_name_Hall 'P 1'
loop_
_atom_site_label
_atom_site_fract_x
_atom_site_fract_y
_atom_site_fract_z
Er1 0.000 0.000 0.000
Pu1 0.250 0.750 0.500
Si1 0.500 0.500 0.000
Si2 0.750 0.250 0.500
O1 0.329 0.146 0.817
O2 0.329 0.512 0.183
O3 0.396 0.075 0.321
O4 0.488 0.671 0.817
O5 0.754 0.075 0.679
O6 0.854 0.671 0.183
O7 0.925 0.246 0.321
O8 0.925 0.604 0.679
# Theoretical density = 6.7 g cm⁻³
# SG = I-4m2
# Fermi-level density of states = 6.57 states/eV/cell
# Magnetization = 3.00 μB per cell
# Formation energy without anion corrections = -2.923 eV per atom



# Co2CuAs, optimized geometry, DFT PBE
data_Co2CuAs
_cell_length_a 4.761
_cell_length_b 4.761
_cell_length_c 2.702
_cell_angle_alpha 103.78
_cell_angle_beta 103.78
_cell_angle_gamma 115.06
_symmetry_space_group_name_H-M 'P 1'
_symmetry_Int_Tables_number 1
_symmetry_space_group_name_Hall 'P 1'
loop_
_atom_site_label
_atom_site_fract_x
_atom_site_fract_y
_atom_site_fract_z
Co1 0.000 0.500 0.000
Co2 0.500 0.000 0.000
Cu1 0.000 0.000 0.500
As1 0.500 0.500 0.500
# Theoretical density = 8.6 g cm⁻³
# SG = C2/m
# Fermi-level density of states = 4.11 states/eV/cell
# Formation enthalpy at 0 K = 0.23 eV per atom
# Magnetization = 2.33 μB per cell



# AcPa4Te8, optimized geometry, DFT PBE
data_AcPa4Te8
_cell_length_a 8.898
_cell_length_b 8.898
_cell_length_c 8.898
_cell_angle_alpha 60.00
_cell_angle_beta 60.00
_cell_angle_gamma 60.00
_symmetry_space_group_name_H-M 'P 1'
_symmetry_Int_Tables_number 1
_symmetry_space_group_name_Hall 'P 1'
loop_
_atom_site_label
_atom_site_fract_x
_atom_site_fract_y
_atom_site_fract_z
Ac1 0.000 0.000 0.000
Pa1 0.395 0.395 0.395
Pa2 0.395 0.395 0.815
Pa3 0.395 0.815 0.395
Pa4 0.815 0.395 0.395
Te1 0.095 0.635 0.635
Te2 0.144 0.144 0.144
Te3 0.144 0.144 0.569
Te4 0.144 0.569 0.144
Te5 0.569 0.144 0.144
Te6 0.635 0.095 0.635
Te7 0.635 0.635 0.095
Te8 0.635 0.635 0.635
# Theoretical density = 7.2 g cm⁻³
# SG = F-43m
# Fermi-level density of states = 18.66 states/eV/cell
# Magnetization = 4.94 μB per cell
# Formation energy without anion corrections = -0.770 eV per atom



# LiCd2OsO6, optimized geometry, DFT PBE
data_LiCd2OsO6
_cell_length_a 5.455
_cell_length_b 5.541
_cell_length_c 9.558
_cell_angle_alpha 90.00
_cell_angle_beta 124.46
_cell_angle_gamma 90.00
_symmetry_space_group_name_H-M 'P 1'
_symmetry_Int_Tables_number 1
_symmetry_space_group_name_Hall 'P 1'
loop_
_atom_site_label
_atom_site_fract_x
_atom_site_fract_y
_atom_site_fract_z
Li1 0.000 0.000 0.000
Li2 0.000 0.500 0.500
Cd1 0.235 0.049 0.745
Cd2 0.235 0.451 0.245
Cd3 0.765 0.549 0.755
Cd4 0.765 0.951 0.255
Os1 0.500 0.000 0.500
Os2 0.500 0.500 0.000
O1 0.164 0.183 0.453
O2 0.164 0.317 0.953
O3 0.266 0.716 0.436
O4 0.266 0.784 0.936
O5 0.375 0.048 0.269
O6 0.375 0.452 0.769
O7 0.625 0.548 0.231
O8 0.625 0.952 0.731
O9 0.734 0.216 0.064
O10 0.734 0.284 0.564
O11 0.836 0.683 0.047
O12 0.836 0.817 0.547
# Theoretical density = 7.2 g cm⁻³
# SG = P2_1/c
# Fermi-level density of states = 8.28 states/eV/cell
# Magnetization = 0.01 μB per cell
# Formation energy without anion corrections = -1.125 eV per atom



# SrReF6, optimized geometry, DFT PBE
data_SrReF6
_cell_length_a 4.974
_cell_length_b 4.974
_cell_length_c 5.189
_cell_angle_alpha 96.01
_cell_angle_beta 96.01
_cell_angle_gamma 105.42
_symmetry_space_group_name_H-M 'P 1'
_symmetry_Int_Tables_number 1
_symmetry_space_group_name_Hall 'P 1'
loop_
_atom_site_label
_atom_site_fract_x
_atom_site_fract_y
_atom_site_fract_z
Sr1 0.000 0.000 0.000
Re1 0.500 0.500 0.500
F1 0.189 0.516 0.233
F2 0.219 0.219 0.646
F3 0.484 0.811 0.767
F4 0.516 0.189 0.233
F5 0.781 0.781 0.354
F6 0.811 0.484 0.767
# Theoretical density = 5.3 g cm⁻³
# SG = C2/m
# Fermi-level density of states = 0.00 states/eV/cell
# Magnetization = 3.00 μB per cell
# Formation energy without anion corrections = -2.747 eV per atom



# ZnCuTe2, optimized geometry, DFT PBE
data_ZnCuTe2
_cell_length_a 4.922
_cell_length_b 4.376
_cell_length_c 4.376
_cell_angle_alpha 76.90
_cell_angle_beta 90.00
_cell_angle_gamma 90.00
_symmetry_space_group_name_H-M 'P 1'
_symmetry_Int_Tables_number 1
_symmetry_space_group_name_Hall 'P 1'
loop_
_atom_site_label
_atom_site_fract_x
_atom_site_fract_y
_atom_site_fract_z
Zn1 0.000 0.000 0.000
Cu1 0.500 0.210 0.210
Te1 0.000 0.391 0.391
Te2 0.500 0.811 0.811
# Theoretical density = 6.9 g cm⁻³
# SG = Amm2
# Fermi-level density of states = 1.79 states/eV/cell
# Energy relative to the lowest polymorph listed for this composition = 131 meV/atom
# Magnetization = 0.00 μB per cell
# Formation energy without anion corrections = -0.094 eV per atom



# UVCrC3, optimized geometry, DFT PBE
data_UVCrC3
_cell_length_a 5.351
_cell_length_b 3.037
_cell_length_c 8.128
_cell_angle_alpha 90.00
_cell_angle_beta 104.76
_cell_angle_gamma 90.00
_symmetry_space_group_name_H-M 'P 1'
_symmetry_Int_Tables_number 1
_symmetry_space_group_name_Hall 'P 1'
loop_
_atom_site_label
_atom_site_fract_x
_atom_site_fract_y
_atom_site_fract_z
U1 0.160 0.250 0.201
U2 0.840 0.750 0.799
V1 0.253 0.750 0.561
V2 0.747 0.250 0.439
Cr1 0.373 0.250 0.868
Cr2 0.627 0.750 0.132
C1 0.062 0.250 0.662
C2 0.257 0.750 0.987
C3 0.482 0.750 0.349
C4 0.518 0.250 0.651
C5 0.743 0.250 0.013
C6 0.938 0.750 0.338
# Theoretical density = 9.8 g cm⁻³
# SG = P2_1/m
# Fermi-level density of states = 7.51 states/eV/cell
# Formation enthalpy at 0 K = -0.26 eV per atom
# Magnetization = 0.00 μB per cell